# 1
PBE Ni3PI, relaxed; size of the total moment = 0.0 μB/cell; total DFT energy (no corrections) = -4.570 eV per atom; density of states at the Fermi level = 1.351 states/eV/atom; energy above the most stable polymorph in this dataset = 0.000 eV/f.u.; crystal system = cubic
1.0
4.346 0.000 0.000
0.000 4.346 0.000
0.000 0.000 4.346
Ni P I
3 1 1
Direct
0.000 0.000 0.500
0.000 0.500 0.000
0.500 0.000 0.000
0.000 0.000 0.000
0.500 0.500 0.500

# 2
PBE Ni2PI, relaxed; size of the total moment = 0.0 μB/cell; total DFT energy (no corrections) = -4.047 eV per atom; density of states at the Fermi level = 0.601 states/eV/atom; energy above the most stable polymorph in this dataset = 2.225 eV/f.u.; crystal system = cubic
1.0
6.294 0.000 0.000
0.000 6.294 0.000
0.000 0.000 6.294
Ni P I
8 4 4
Direct
0.250 0.250 0.250
0.250 0.250 0.750
0.250 0.750 0.250
0.250 0.750 0.750
0.750 0.250 0.250
0.750 0.250 0.750
0.750 0.750 0.250
0.750 0.750 0.750
0.000 0.000 0.000
0.000 0.500 0.500
0.500 0.000 0.500
0.500 0.500 0.000
0.000 0.000 0.500
0.000 0.500 0.000
0.500 0.000 0.000
0.500 0.500 0.500

# 3
PBE Ni2PI, relaxed; size of the total moment = 0.0 μB/cell; total DFT energy (no corrections) = -4.603 eV per atom; density of states at the Fermi level = 0.942 states/eV/atom; energy above the most stable polymorph in this dataset = 0.000 eV/f.u.; crystal system = tetragonal
1.0
5.588 0.000 0.000
0.000 5.588 0.000
0.000 0.000 10.216
Ni P I
8 4 4
Direct
0.190 0.250 0.125
0.250 0.690 0.375
0.250 0.810 0.875
0.310 0.250 0.625
0.690 0.750 0.625
0.750 0.190 0.875
0.750 0.310 0.375
0.810 0.750 0.125
0.000 0.000 0.000
0.000 0.500 0.250
0.500 0.000 0.750
0.500 0.500 0.500
0.000 0.000 0.500
0.000 0.500 0.750
0.500 0.000 0.250
0.500 0.500 0.000

# 4
PBE NiP2I, relaxed; size of the total moment = 0.0 μB/cell; total DFT energy (no corrections) = -4.245 eV per atom; density of states at the Fermi level = 0.821 states/eV/atom; energy above the most stable polymorph in this dataset = 0.000 eV/f.u.; crystal system = tetragonal
1.0
6.098 0.000 0.000
0.000 6.098 0.000
0.000 0.000 9.794
Ni P I
4 8 4
Direct
0.000 0.000 0.000
0.000 0.500 0.250
0.500 0.000 0.750
0.500 0.500 0.500
0.138 0.250 0.125
0.250 0.638 0.375
0.250 0.862 0.875
0.362 0.250 0.625
0.638 0.750 0.625
0.750 0.138 0.875
0.750 0.362 0.375
0.862 0.750 0.125
0.000 0.000 0.500
0.000 0.500 0.750
0.500 0.000 0.250
0.500 0.500 0.000

# 5
PBE NiP2I, relaxed; size of the total moment = 0.0 μB/cell; total DFT energy (no corrections) = -3.454 eV per atom; density of states at the Fermi level = 0.926 states/eV/atom; energy above the most stable polymorph in this dataset = 3.164 eV/f.u.; crystal system = cubic
1.0
6.528 0.000 0.000
0.000 6.528 0.000
0.000 0.000 6.528
Ni P I
4 8 4
Direct
0.000 0.000 0.000
0.000 0.500 0.500
0.500 0.000 0.500
0.500 0.500 0.000
0.250 0.250 0.250
0.250 0.250 0.750
0.250 0.750 0.250
0.250 0.750 0.750
0.750 0.250 0.250
0.750 0.250 0.750
0.750 0.750 0.250
0.750 0.750 0.750
0.000 0.000 0.500
0.000 0.500 0.000
0.500 0.000 0.000
0.500 0.500 0.500

# 6
PBE Pm8Ni3PI4, relaxed; size of the total moment = 0.0 μB/cell; total DFT energy (no corrections) = -4.988 eV per atom; density of states at the Fermi level = 0.778 states/eV/atom; crystal system = trigonal
1.0
4.157 2.400 7.872
-4.157 2.400 7.872
0.000 -4.800 7.872
Pm Ni P I
8 3 1 4
Direct
0.221 0.733 0.733
0.227 0.227 0.227
0.267 0.267 0.779
0.267 0.779 0.267
0.733 0.221 0.733
0.733 0.733 0.221
0.773 0.773 0.773
0.779 0.267 0.267
0.000 0.000 0.500
0.000 0.500 0.000
0.500 0.000 0.000
0.500 0.500 0.500
0.000 0.000 0.000
0.000 0.500 0.500
0.500 0.000 0.500
0.500 0.500 0.000

Look up the total DFT energy (no corrections) of the fifth one.
-3.454 eV per atom

What is the size of the total moment in the fifth record?
0.0 μB/cell

What is the formula in the fourth record?
NiP2I

The highest total DFT energy (no corrections) belongs to which entry?
number 5